CsTl3S3: relaxed, PBE.

## Properties
DOS(E_F) = 10.8 states/eV/cell
symmetry = No. 148
mass density = 5400 kg/m³
energy relative to the elements, uncorrected = -2.59 eV/f.u.
crystal system = trigonal
ΔE to the lowest computed polymorph = 0.0000 eV/atom

```
data_CsTl3S3
_chemical_formula_sum 'Cs2 Tl6 S6'
_symmetry_space_group_name_H-M 'P 1'
_symmetry_Int_Tables_number 1
_cell_length_a 8.622
_cell_length_b 8.622
_cell_length_c 9.462
_cell_angle_alpha 62.90
_cell_angle_beta 62.90
_cell_angle_gamma 60.00
loop_
_symmetry_equiv_pos_as_xyz
'x,y,z'
loop_
_atom_site_label
_atom_site_type_symbol
_atom_site_fract_x
_atom_site_fract_y
_atom_site_fract_z
S1 S 0.906 0.255 0.298
S2 S 0.745 0.458 0.702
S3 S 0.094 0.745 0.702
S4 S 0.255 0.542 0.298
S5 S 0.542 0.906 0.298
S6 S 0.458 0.094 0.702
Tl1 Tl 0.801 0.124 0.653
Tl2 Tl 0.577 0.199 0.347
Tl3 Tl 0.423 0.801 0.653
Tl4 Tl 0.199 0.876 0.347
Tl5 Tl 0.124 0.423 0.653
Tl6 Tl 0.876 0.577 0.347
Cs1 Cs 0.333 0.333 0.002
Cs2 Cs 0.667 0.667 0.998
```



CsTl6S8: relaxed, PBE.

## Properties
DOS(E_F) = 6.7 states/eV/cell
symmetry = No. 148
mass density = 6018 kg/m³
energy relative to the elements, uncorrected = -3.04 eV/f.u.
crystal system = trigonal

```
data_CsTl6S8
_chemical_formula_sum 'Cs1 Tl6 S8'
_symmetry_space_group_name_H-M 'P 1'
_symmetry_Int_Tables_number 1
_cell_length_a 7.718
_cell_length_b 7.718
_cell_length_c 7.718
_cell_angle_alpha 97.75
_cell_angle_beta 97.75
_cell_angle_gamma 97.75
loop_
_symmetry_equiv_pos_as_xyz
'x,y,z'
loop_
_atom_site_label
_atom_site_type_symbol
_atom_site_fract_x
_atom_site_fract_y
_atom_site_fract_z
Tl1 Tl 0.699 0.388 0.827
Tl2 Tl 0.173 0.301 0.612
Tl3 Tl 0.301 0.612 0.173
Tl4 Tl 0.827 0.699 0.388
Tl5 Tl 0.612 0.173 0.301
Tl6 Tl 0.388 0.827 0.699
S1 S 0.839 0.394 0.165
S2 S 0.835 0.161 0.606
S3 S 0.328 0.328 0.328
S4 S 0.165 0.839 0.394
S5 S 0.161 0.606 0.835
S6 S 0.394 0.165 0.839
S7 S 0.606 0.835 0.161
S8 S 0.672 0.672 0.672
Cs1 Cs 0.000 0.000 0.000
```



Cs2Tl2S3: relaxed, PBE.

## Properties
DOS(E_F) = 1.6 states/eV/cell
symmetry = No. 14
mass density = 4849 kg/m³
energy relative to the elements, uncorrected = -4.71 eV/f.u.
crystal system = monoclinic
ΔE to the lowest computed polymorph = 0.0000 eV/atom

```
data_Cs2Tl2S3
_chemical_formula_sum 'Cs4 Tl4 S6'
_symmetry_space_group_name_H-M 'P 1'
_symmetry_Int_Tables_number 1
_cell_length_a 8.054
_cell_length_b 8.043
_cell_length_c 8.695
_cell_angle_alpha 90.00
_cell_angle_beta 90.00
_cell_angle_gamma 110.42
loop_
_symmetry_equiv_pos_as_xyz
'x,y,z'
loop_
_atom_site_label
_atom_site_type_symbol
_atom_site_fract_x
_atom_site_fract_y
_atom_site_fract_z
Tl1 Tl 0.937 0.674 0.384
Tl2 Tl 0.063 0.326 0.616
Tl3 Tl 0.563 0.326 0.884
Tl4 Tl 0.437 0.674 0.116
S1 S 0.265 0.435 0.880
S2 S 0.765 0.435 0.620
S3 S 0.500 0.000 0.000
S4 S 0.235 0.565 0.380
S5 S 0.000 0.000 0.500
S6 S 0.735 0.565 0.120
Cs1 Cs 0.431 0.213 0.350
Cs2 Cs 0.931 0.213 0.150
Cs3 Cs 0.569 0.787 0.650
Cs4 Cs 0.069 0.787 0.850
```